# 1
DFT (GGA-PBE) results for a geometry-optimized LiNpGa2Pt4 structure.

space-group type: R-3m
DFT total energy: -6.291 eV per atom
total moment: 3.48 Bohr magnetons per cell
formation energy from the elements: -0.657 eV per atom

extended XYZ file:
```
8
Lattice="-1.617 3.319 2.173 -4.239 0.590 0.166 -2.336 -3.406 7.687" Properties=species:S:1:pos:R:3 pbc="T T T"
Ga -2.062 -0.042 2.753
Ga -6.131 0.545 7.273
Np 0.000 0.000 0.000
Pt -2.184 -1.542 4.953
Pt -6.008 2.045 5.073
Pt -3.979 1.686 2.908
Pt -4.213 -1.184 7.118
Li -4.096 0.251 5.013
```


# 2
DFT (GGA-PBE) results for a geometry-optimized LiNpGaRu structure.

space-group type: F-43m
DFT total energy: -6.790 eV per atom
total moment: 3.86 Bohr magnetons per cell
formation energy from the elements: -0.001 eV per atom

extended XYZ file:
```
4
Lattice="4.587 0.000 0.000 2.294 3.973 0.000 2.294 1.324 3.746" Properties=species:S:1:pos:R:3 pbc="T T T"
Ga 6.881 3.973 2.809
Li 0.000 0.000 0.000
Ru 4.587 2.649 1.873
Np 2.294 1.324 0.936
```